(1)
VASP calculation (PBE) on a relaxed structure of HoPu2N.

Cell: 4.054 4.054 6.815 Å, 72.70 72.70 60.00°
Fractional positions:
Pu 0.347 0.347 0.959
Pu 0.653 0.653 0.041
N 0.000 0.000 0.000
Ho 0.500 0.500 0.500

Output
- energy relative to the elements, uncorrected (meV/atom) = 318
- final energy (eV per atom) = -10.07
- Fermi-level density of states (states/eV/cell) = 6.9

---

(2)
VASP calculation (PBE) on a relaxed structure of AlAg5S4.

Cell: 3.780 6.944 7.904 Å, 80.23 103.83 90.00°
Fractional positions:
S 0.930 0.199 0.860
S 0.070 0.801 0.140
S 0.619 0.202 0.238
S 0.381 0.798 0.762
Ag 0.500 0.500 0.000
Ag 0.150 0.445 0.300
Ag 0.223 0.839 0.445
Ag 0.777 0.161 0.555
Ag 0.850 0.555 0.700
Al 0.500 0.000 0.000

Output
- energy relative to the elements, uncorrected (meV/atom) = -193
- final energy (eV per atom) = -3.64
- Fermi-level density of states (states/eV/cell) = 0.5

---

(3)
VASP calculation (PBE) on a relaxed structure of ZrAlNiPd2.

Cell: 4.425 5.162 4.425 Å, 90.00 90.00 90.00°
Fractional positions:
Pd 0.500 0.000 0.000
Pd 0.000 0.000 0.500
Zr 0.000 0.500 0.000
Ni 0.500 0.500 0.500
Al 0.000 0.000 0.000

Output
- final energy (eV per atom) = -5.08
- Fermi-level density of states (states/eV/cell) = 7.8
- DFT formation energy (eV per atom) = 0.616

---

(4)
VASP calculation (PBE) on a relaxed structure of Cs3ZrBr6.

Cell: 8.650 8.650 8.650 Å, 60.00 60.00 90.00°
Last column: magnetic moment on the atom in μB.
Fractional positions:
Br 0.278 0.278 0.443  0.00
Br 0.722 0.278 0.000  0.00
Br 0.278 0.278 0.000  0.00
Br 0.722 0.722 0.557  0.00
Br 0.278 0.722 0.000  0.00
Br 0.722 0.722 0.000  0.00
Zr 0.500 0.500 0.000  0.69
Cs 0.250 0.750 0.500  0.00
Cs 0.750 0.250 0.500  0.00
Cs 0.000 0.000 0.000  0.00

Output
- energy relative to the elements, uncorrected (meV/atom) = -1566
- final energy (eV per atom) = -3.68
- Fermi-level density of states (states/eV/cell) = 10.8

---

(5)
VASP calculation (PBE) on a relaxed structure of Ca3TlP.

Cell: 6.200 6.200 10.463 Å, 72.77 72.77 90.00°
Fractional positions:
Ca 0.719 0.719 0.562
Ca 0.115 0.366 0.771
Ca 0.634 0.885 0.229
Ca 0.281 0.281 0.438
Ca 0.115 0.863 0.771
Ca 0.137 0.885 0.229
Tl 0.653 0.153 0.695
Tl 0.847 0.347 0.305
P 0.250 0.750 0.500
P 0.000 0.000 0.000

Output
- E above lowest polymorph (meV/atom) = 497
- final energy (eV per atom) = -2.98
- Fermi-level density of states (states/eV/cell) = 5.2
- DFT formation energy (eV per atom) = -0.223

---

(6)
VASP calculation (PBE) on a relaxed structure of Sc5PaCo6.

Cell: 4.497 6.340 7.705 Å, 65.71 73.05 90.00°
Last column: magnetic moment on the atom in μB.
Fractional positions:
Co 0.840 0.603 0.319  0.41
Co 0.160 0.922 0.681  0.41
Co 0.500 0.236 0.000  0.34
Co 0.840 0.078 0.319  0.41
Co 0.160 0.397 0.681  0.41
Co 0.500 0.764 0.000  0.34
Pa 0.000 0.000 0.000  -0.18
Sc 0.664 0.664 0.673  -0.06
Sc 0.322 0.822 0.357  -0.06
Sc 0.678 0.178 0.643  -0.06
Sc 0.000 0.500 0.000  -0.05
Sc 0.336 0.336 0.327  -0.06

Output
- final energy (eV per atom) = -7.35
- Fermi-level density of states (states/eV/cell) = 8.9
- DFT formation energy (eV per atom) = -0.368

---

(7)
VASP calculation (PBE) on a relaxed structure of ThTe3.

Cell: 4.435 6.257 11.063 Å, 82.62 90.00 90.00°
Fractional positions:
Th 0.250 0.716 0.151
Th 0.750 0.284 0.849
Te 0.250 0.105 0.677
Te 0.250 0.236 0.061
Te 0.750 0.895 0.323
Te 0.750 0.451 0.316
Te 0.750 0.764 0.939
Te 0.250 0.549 0.684

Output
- energy relative to the elements, uncorrected (meV/atom) = -970
- final energy (eV per atom) = -5.18

---

(8)
VASP calculation (PBE) on a relaxed structure of TbPr3Y4.

Cell: 3.500 9.028 9.028 Å, 81.60 78.82 78.82°
Fractional positions:
Y 0.366 0.381 0.887
Y 0.634 0.113 0.619
Y 0.366 0.887 0.381
Y 0.634 0.619 0.113
Pr 0.242 0.758 0.758
Pr 0.000 0.500 0.500
Pr 0.758 0.242 0.242
Tb 0.500 0.000 0.000

Output
- E above lowest polymorph (meV/atom) = 109
- final energy (eV per atom) = -5.47
- Fermi-level density of states (states/eV/cell) = 13.2
- DFT formation energy (eV per atom) = 0.130

---

(9)
VASP calculation (PBE) on a relaxed structure of ScPdRuRh2.

Cell: 4.577 4.649 4.577 Å, 90.00 90.00 90.00°
Last column: magnetic moment on the atom in μB.
Fractional positions:
Rh 0.000 0.000 0.500  0.31
Rh 0.500 0.000 0.000  0.52
Pd 0.000 0.500 0.000  0.09
Ru 0.500 0.500 0.500  2.49
Sc 0.000 0.000 0.000  -0.06

Output
- final energy (eV per atom) = -6.03
- Fermi-level density of states (states/eV/cell) = 6.6
- DFT formation energy (eV per atom) = 1.068

---

(10)
VASP calculation (PBE) on a relaxed structure of NaP2Au.

Cell: 7.569 7.569 5.991 Å, 50.82 50.82 90.00°
Fractional positions:
Au 0.000 0.000 0.000
Au 0.750 0.250 0.500
P 0.375 0.320 0.750
P 0.070 0.625 0.250
P 0.680 0.125 0.250
P 0.875 0.930 0.750
Na 0.250 0.750 0.500
Na 0.500 0.500 0.000

Output
- E above lowest polymorph (meV/atom) = 0
- final energy (eV per atom) = -3.75
- Fermi-level density of states (states/eV/cell) = 2.7
- DFT formation energy (eV per atom) = 0.106

---

(11)
VASP calculation (PBE) on a relaxed structure of RbCaTl2.

Cell: 3.829 6.029 6.029 Å, 90.00 90.00 90.00°
Fractional positions:
Rb 0.500 0.500 0.500
Ca 0.500 0.000 0.000
Tl 0.000 0.500 0.000
Tl 0.000 0.000 0.500

Output
- E above lowest polymorph (meV/atom) = 89
- final energy (eV per atom) = -2.04
- Fermi-level density of states (states/eV/cell) = 2.8
- DFT formation energy (eV per atom) = -0.114

---

(12)
VASP calculation (PBE) on a relaxed structure of CdPBr2.

Cell: 9.975 9.975 9.975 Å, 19.98 19.98 19.98°
Fractional positions:
P 0.500 0.500 0.500
Br 0.902 0.902 0.902
Br 0.098 0.098 0.098
Cd 0.000 0.000 0.000

Output
- E above lowest polymorph (meV/atom) = 619
- energy relative to the elements, uncorrected (meV/atom) = 399
- final energy (eV per atom) = -2.02
- Fermi-level density of states (states/eV/cell) = 2.0